# PBE+U LiMnSi4O10, optimized geometry
data_LiMnSi4O10
_space_group_name_H-M_alt 'P 4/n c c'
_space_group_IT_number 130
_cell_length_a 7.306
_cell_length_b 7.306
_cell_length_c 15.047
_cell_angle_alpha 90.00
_cell_angle_beta 90.00
_cell_angle_gamma 90.00
loop_
_space_group_symop_operation_xyz
'x,y,z'
'-x,-y,-z'
'-y+1/2,x,z'
'y+1/2,-x,-z'
'-x+1/2,-y+1/2,z'
'x+1/2,y+1/2,-z'
'y,-x+1/2,z'
'-y,x+1/2,-z'
'x+1/2,-y,-z+1/2'
'-x+1/2,y,z+1/2'
'-y,-x,-z+1/2'
'y,x,z+1/2'
'-x,y+1/2,-z+1/2'
'x,-y+1/2,z+1/2'
'y+1/2,x+1/2,-z+1/2'
'-y+1/2,-x+1/2,z+1/2'
loop_
_atom_site_label
_atom_site_type_symbol
_atom_site_fract_x
_atom_site_fract_y
_atom_site_fract_z
Li1 Li 0.250 0.750 0.000
Mn1 Mn 0.250 0.250 0.077
Si1 Si 0.001 0.578 0.145
O1 O 0.002 0.703 0.623
O2 O 0.006 0.158 0.081
O3 O 0.044 0.544 0.250
# Density of states at the Fermi level ... 0.00 states/eV/f.u.
# E ... -482.82 eV/cell